## KPaNbN4 (PBE-GGA)

Data for a relaxed structure of KPaNbN4.

## Properties
ΔE_f (raw)   -0.710 eV per atom
DOS(E_F)   0.8630 states/eV/atom

The structure in POSCAR format:
```
KPaNbN4
1.0
-0.210 0.094 -6.133
4.922 -3.260 -0.219
-4.191 -6.522 2.908
N Nb Pa K
8 2 2 2
Direct
0.974 0.490 0.659
0.476 0.750 0.549
0.507 0.250 0.778
0.524 0.250 0.451
0.493 0.750 0.222
0.026 0.510 0.341
0.974 0.010 0.659
0.026 0.990 0.341
0.756 0.250 0.674
0.244 0.750 0.326
0.798 0.750 0.457
0.202 0.250 0.543
0.609 0.250 0.138
0.391 0.750 0.862
```

=====

## ErScSe (PBE-GGA)

Data for a relaxed structure of ErScSe.

## Properties
ΔE_f (raw)   -0.907 eV per atom
DOS(E_F)   0.9860 states/eV/atom
Offset from the most stable computed form   0.1315 eV per atom

The structure in POSCAR format:
```
ErScSe
1.0
3.525 0.000 0.000
0.000 3.525 0.000
-1.762 -1.762 5.613
Se Er Sc
1 1 1
Direct
0.682 0.682 0.364
0.007 0.007 0.015
0.311 0.311 0.621
```

=====

## SmTmMgIn (PBE-GGA)

Data for a relaxed structure of SmTmMgIn.

## Properties
DOS(E_F)   0.6737 states/eV/atom
ΔH_f (0 K)   -312.6 meV/atom

The structure in POSCAR format:
```
SmTmMgIn
1.0
-3.887 3.511 -0.987
-4.717 -1.688 -1.821
-4.293 0.180 3.154
Mg Sm In Tm
1 1 1 1
Direct
0.000 0.000 0.000
0.750 0.750 0.750
0.500 0.500 0.500
0.250 0.250 0.250
```

=====

| no. | magnetic moment (μB/f.u.) |
| --- | --- |
| 1 | 0.43 |
| 2 | 0.00 |
| 3 | 0.00 |